No. 1
PrTm4S6 | GGA-PBE | optimized geometry

Calculated values
Formation energy (no corrections)   -2.021 eV per atom
SG   Cmcm (63)

The structure in CIF format:
```
data_PrTm4S6
_chemical_formula_sum 'Pr2 Tm8 S12'
_symmetry_space_group_name_H-M 'P 1'
_symmetry_Int_Tables_number 1
_cell_length_a 6.6403
_cell_length_b 6.6403
_cell_length_c 19.7095
_cell_angle_alpha 90.00
_cell_angle_beta 90.00
_cell_angle_gamma 146.39
loop_
_symmetry_equiv_pos_as_xyz
'x,y,z'
loop_
_atom_site_label
_atom_site_type_symbol
_atom_site_fract_x
_atom_site_fract_y
_atom_site_fract_z
Pr1 Pr 0.1538 0.8462 0.7500
Pr2 Pr 0.8462 0.1538 0.2500
Tm1 Tm 0.0928 0.9072 0.1256
Tm2 Tm 0.0928 0.9072 0.3744
Tm3 Tm 0.3618 0.6382 0.0390
Tm4 Tm 0.3618 0.6382 0.4610
Tm5 Tm 0.6382 0.3618 0.5390
Tm6 Tm 0.6382 0.3618 0.9610
Tm7 Tm 0.9072 0.0928 0.6256
Tm8 Tm 0.9072 0.0928 0.8744
S1 S 0.0000 0.0000 0.0000
S2 S 0.0000 0.0000 0.5000
S3 S 0.1804 0.8196 0.2500
S4 S 0.2677 0.7323 0.5882
S5 S 0.2677 0.7323 0.9118
S6 S 0.4545 0.5455 0.1629
S7 S 0.4545 0.5455 0.3371
S8 S 0.5455 0.4545 0.6629
S9 S 0.5455 0.4545 0.8371
S10 S 0.7323 0.2677 0.0882
S11 S 0.7323 0.2677 0.4118
S12 S 0.8196 0.1804 0.7500
```


No. 2
La4ZrZn | GGA-PBE | optimized geometry

Calculated values
Energy of formation from the pure elements   0.51 eV/atom
SG   F-43m (216)

The structure in CIF format:
```
data_La4ZrZn
_chemical_formula_sum 'La4 Zr1 Zn1'
_symmetry_space_group_name_H-M 'P 1'
_symmetry_Int_Tables_number 1
_cell_length_a 6.4530
_cell_length_b 6.4530
_cell_length_c 6.4530
_cell_angle_alpha 60.00
_cell_angle_beta 60.00
_cell_angle_gamma 60.00
loop_
_symmetry_equiv_pos_as_xyz
'x,y,z'
loop_
_atom_site_label
_atom_site_type_symbol
_atom_site_fract_x
_atom_site_fract_y
_atom_site_fract_z
La1 La 0.3758 0.3758 0.3758
La2 La 0.3758 0.3758 0.8726
La3 La 0.3758 0.8726 0.3758
La4 La 0.8726 0.3758 0.3758
Zr1 Zr 0.7500 0.7500 0.7500
Zn1 Zn 0.0000 0.0000 0.0000
```


no.,magnetic moment (Bohr magnetons per cell),raw total energy (eV per atom)
1,0.0,-6.33
2,1.9,-4.41